An optimized crystal structure of WCIO2. Source: Alexandria via LeMat-Bulk, functional GGA+U.

Results
- ΔE to the lowest computed polymorph: 1239 meV/atom
- Space-group type: P4/mmm
- Raw total energy: -4.119 eV/atom

Cell lengths 3.997, 3.997, 4.330 Å; angles 90.00, 90.00, 90.00 degrees
Fractional positions:
W1 0.000 0.000 0.000
C1 0.500 0.500 0.500
I1 0.500 0.500 0.000
O1 0.000 0.500 0.500
O2 0.500 0.000 0.500